# 1
# RbZrAl | Alexandria via LeMat-Bulk | GGA-PBE | relaxed
data_RbZrAl
_cell_length_a 4.789
_cell_length_b 4.791
_cell_length_c 12.490
_cell_angle_alpha 80.43
_cell_angle_beta 79.83
_cell_angle_gamma 60.04
_space_group_name_H-M_alt 'P -1'
_space_group_IT_number 2
_space_group_name_Hall '-P 1'
loop_
_atom_site_label
_atom_site_type_symbol
_atom_site_fract_x
_atom_site_fract_y
_atom_site_fract_z
_atom_site_occupancy
Rb1 Rb 0.231 0.250 0.314 1
Zr1 Zr 0.334 0.334 0.998 1
Al1 Al 0.034 0.028 0.896 1
# Density of states at the Fermi level (states/eV/atom): 0.1565
# Uncorrected energy (eV/atom): -4.287
# Volume (Å³/cell): 243
# Energy relative to the elements (meV/atom): 132
# Crystal system: triclinic
# Energy relative to the lowest polymorph listed for this composition (meV/atom): 110

# 2
# RbZrAl | Alexandria via LeMat-Bulk | GGA-PBE | relaxed
data_RbZrAl
_cell_length_a 4.762
_cell_length_b 5.269
_cell_length_c 22.764
_cell_angle_alpha 85.44
_cell_angle_beta 84.40
_cell_angle_gamma 89.98
_space_group_name_H-M_alt 'P 1'
_space_group_IT_number 1
_space_group_name_Hall 'P 1'
loop_
_atom_site_label
_atom_site_type_symbol
_atom_site_fract_x
_atom_site_fract_y
_atom_site_fract_z
_atom_site_occupancy
Rb1 Rb 0.000 0.000 0.000 1
Rb2 Rb 0.423 0.447 0.161 1
Zr1 Zr 0.078 0.022 0.831 1
Zr2 Zr 0.577 0.268 0.834 1
Al1 Al 0.056 0.494 0.879 1
Al2 Al 0.555 0.764 0.882 1
# Density of states at the Fermi level (states/eV/atom): 0.6991
# Uncorrected energy (eV/atom): -3.876
# Volume (Å³/cell): 567
# Energy relative to the elements (meV/atom): 544
# Crystal system: triclinic
# Energy relative to the lowest polymorph listed for this composition (meV/atom): 521

# 3
# RbZrAl | Alexandria via LeMat-Bulk | GGA-PBE | relaxed
data_RbZrAl
_cell_length_a 5.600
_cell_length_b 4.864
_cell_length_c 7.807
_cell_angle_alpha 90.00
_cell_angle_beta 97.23
_cell_angle_gamma 90.00
_space_group_name_H-M_alt 'P 1 m 1'
_space_group_IT_number 6
_space_group_name_Hall 'P -2y'
loop_
_atom_site_label
_atom_site_type_symbol
_atom_site_fract_x
_atom_site_fract_y
_atom_site_fract_z
_atom_site_occupancy
Rb1 Rb 0.000 0.000 0.000 1
Rb2 Rb 0.484 0.500 0.816 1
Zr1 Zr 0.092 0.000 0.462 1
Zr2 Zr 0.875 0.500 0.448 1
Al1 Al 0.332 0.500 0.339 1
Al2 Al 0.593 0.000 0.355 1
# Density of states at the Fermi level (states/eV/atom): 0.1387
# Uncorrected energy (eV/atom): -4.055
# Volume (Å³/cell): 211
# Energy relative to the elements (meV/atom): 365
# Crystal system: monoclinic
# Energy relative to the lowest polymorph listed for this composition (meV/atom): 342

# 4
# RbZrAl | Alexandria via LeMat-Bulk | GGA-PBE | relaxed
data_RbZrAl
_cell_length_a 3.733
_cell_length_b 4.392
_cell_length_c 13.353
_cell_angle_alpha 99.09
_cell_angle_beta 91.01
_cell_angle_gamma 90.01
_space_group_name_H-M_alt 'P -1'
_space_group_IT_number 2
_space_group_name_Hall '-P 1'
loop_
_atom_site_label
_atom_site_type_symbol
_atom_site_fract_x
_atom_site_fract_y
_atom_site_fract_z
_atom_site_occupancy
Rb1 Rb 0.227 0.340 0.167 1
Zr1 Zr 0.244 0.957 0.410 1
Al1 Al 0.255 0.536 0.575 1
# Density of states at the Fermi level (states/eV/atom): 0.6019
# Uncorrected energy (eV/atom): -4.397
# Volume (Å³/cell): 216
# Energy relative to the elements (meV/atom): 23
# Crystal system: triclinic
# Energy relative to the lowest polymorph listed for this composition (meV/atom): 0

# 5
# RbZrAl | Alexandria via LeMat-Bulk | GGA-PBE | relaxed
data_RbZrAl
_cell_length_a 7.390
_cell_length_b 7.390
_cell_length_c 7.390
_cell_angle_alpha 90.00
_cell_angle_beta 90.00
_cell_angle_gamma 90.00
_space_group_name_H-M_alt 'F -4 3 m'
_space_group_IT_number 216
_space_group_name_Hall 'F -4 2 3'
loop_
_atom_site_label
_atom_site_type_symbol
_atom_site_fract_x
_atom_site_fract_y
_atom_site_fract_z
_atom_site_occupancy
Rb1 Rb 0.000 0.000 0.000 1
Zr1 Zr 0.000 0.000 0.500 1
Al1 Al 0.250 0.250 0.250 1
# Density of states at the Fermi level (states/eV/atom): 0.2634
# Uncorrected energy (eV/atom): -3.271
# Volume (Å³/cell): 404
# Energy relative to the elements (meV/atom): 1149
# Crystal system: cubic
# Energy relative to the lowest polymorph listed for this composition (meV/atom): 1126

# 6
# RbZrAl | Alexandria via LeMat-Bulk | GGA-PBE | relaxed
data_RbZrAl
_cell_length_a 4.120
_cell_length_b 5.059
_cell_length_c 12.453
_cell_angle_alpha 78.91
_cell_angle_beta 86.04
_cell_angle_gamma 66.04
_space_group_name_H-M_alt 'P 1'
_space_group_IT_number 1
_space_group_name_Hall 'P 1'
loop_
_atom_site_label
_atom_site_type_symbol
_atom_site_fract_x
_atom_site_fract_y
_atom_site_fract_z
_atom_site_occupancy
Rb1 Rb 0.000 0.000 0.000 1
Rb2 Rb 0.483 0.314 0.347 1
Zr1 Zr 0.274 0.552 0.774 1
Zr2 Zr 0.882 0.399 0.622 1
Al1 Al 0.177 0.838 0.557 1
Al2 Al 0.579 0.971 0.704 1
# Density of states at the Fermi level (states/eV/atom): 0.8397
# Uncorrected energy (eV/atom): -4.213
# Volume (Å³/cell): 233
# Energy relative to the elements (meV/atom): 206
# Crystal system: triclinic
# Energy relative to the lowest polymorph listed for this composition (meV/atom): 184

# 7
# RbZrAl | Alexandria via LeMat-Bulk | GGA-PBE | relaxed
data_RbZrAl
_cell_length_a 4.258
_cell_length_b 4.261
_cell_length_c 13.053
_cell_angle_alpha 80.62
_cell_angle_beta 89.86
_cell_angle_gamma 89.92
_space_group_name_H-M_alt 'P 1'
_space_group_IT_number 1
_space_group_name_Hall 'P 1'
loop_
_atom_site_label
_atom_site_type_symbol
_atom_site_fract_x
_atom_site_fract_y
_atom_site_fract_z
_atom_site_occupancy
Rb1 Rb 0.000 0.000 0.000 1
Rb2 Rb 0.498 0.664 0.668 1
Zr1 Zr 0.494 0.307 0.393 1
Zr2 Zr 0.994 0.807 0.393 1
Al1 Al 0.495 0.882 0.244 1
Al2 Al 0.995 0.381 0.245 1
# Density of states at the Fermi level (states/eV/atom): 0.2778
# Uncorrected energy (eV/atom): -4.210
# Volume (Å³/cell): 234
# Energy relative to the elements (meV/atom): 210
# Crystal system: triclinic
# Energy relative to the lowest polymorph listed for this composition (meV/atom): 187

# 8
# RbZrAl | Alexandria via LeMat-Bulk | GGA-PBE | relaxed
data_RbZrAl
_cell_length_a 5.244
_cell_length_b 5.244
_cell_length_c 8.742
_cell_angle_alpha 90.00
_cell_angle_beta 90.00
_cell_angle_gamma 90.00
_space_group_name_H-M_alt 'P 4/n m m'
_space_group_IT_number 129
loop_
_space_group_symop_operation_xyz
'x,y,z'
'-x,-y,-z'
'-y+1/2,x,z'
'y+1/2,-x,-z'
'-x+1/2,-y+1/2,z'
'x+1/2,y+1/2,-z'
'y,-x+1/2,z'
'-y,x+1/2,-z'
'x+1/2,-y,-z'
'-x+1/2,y,z'
'-y,-x,-z'
'y,x,z'
'-x,y+1/2,-z'
'x,-y+1/2,z'
'y+1/2,x+1/2,-z'
'-y+1/2,-x+1/2,z'
loop_
_atom_site_label
_atom_site_type_symbol
_atom_site_fract_x
_atom_site_fract_y
_atom_site_fract_z
_atom_site_occupancy
Rb1 Rb 0.250 0.250 0.163 1
Zr1 Zr 0.250 0.250 0.589 1
Al1 Al 0.250 0.750 0.500 1
# Density of states at the Fermi level (states/eV/atom): 0.5950
# Uncorrected energy (eV/atom): -3.937
# Volume (Å³/cell): 240
# Energy relative to the elements (meV/atom): 482
# Crystal system: tetragonal
# Energy relative to the lowest polymorph listed for this composition (meV/atom): 459

# 9
# RbZrAl | Alexandria via LeMat-Bulk | GGA-PBE | relaxed
data_RbZrAl
_cell_length_a 15.206
_cell_length_b 4.853
_cell_length_c 5.632
_cell_angle_alpha 90.00
_cell_angle_beta 91.76
_cell_angle_gamma 90.00
_space_group_name_H-M_alt 'C 1 m 1'
_space_group_IT_number 8
_space_group_name_Hall 'C -2y'
loop_
_atom_site_label
_atom_site_type_symbol
_atom_site_fract_x
_atom_site_fract_y
_atom_site_fract_z
_atom_site_occupancy
Rb1 Rb 0.000 0.000 0.000 1
Rb2 Rb 0.080 0.500 0.516 1
Zr1 Zr 0.310 0.000 0.299 1
Zr2 Zr 0.314 0.500 0.516 1
Al1 Al 0.254 0.500 0.037 1
Al2 Al 0.262 0.000 0.776 1
# Density of states at the Fermi level (states/eV/atom): 0.4278
# Uncorrected energy (eV/atom): -4.056
# Volume (Å³/cell): 415
# Energy relative to the elements (meV/atom): 363
# Crystal system: monoclinic
# Energy relative to the lowest polymorph listed for this composition (meV/atom): 340

# 10
# RbZrAl | Alexandria via LeMat-Bulk | GGA-PBE | relaxed
data_RbZrAl
_cell_length_a 4.789
_cell_length_b 4.790
_cell_length_c 12.535
_cell_angle_alpha 89.72
_cell_angle_beta 79.31
_cell_angle_gamma 60.01
_space_group_name_H-M_alt 'P 1'
_space_group_IT_number 1
_space_group_name_Hall 'P 1'
loop_
_atom_site_label
_atom_site_type_symbol
_atom_site_fract_x
_atom_site_fract_y
_atom_site_fract_z
_atom_site_occupancy
Rb1 Rb 0.000 0.000 0.000 1
Rb2 Rb 0.402 0.808 0.371 1
Zr1 Zr 0.201 0.904 0.686 1
Zr2 Zr 0.868 0.571 0.685 1
Al1 Al 0.468 0.269 0.790 1
Al2 Al 0.601 0.206 0.581 1
# Density of states at the Fermi level (states/eV/atom): 0.0749
# Uncorrected energy (eV/atom): -4.286
# Volume (Å³/cell): 243
# Energy relative to the elements (meV/atom): 133
# Crystal system: triclinic
# Energy relative to the lowest polymorph listed for this composition (meV/atom): 111

# 11
# RbZr3Al | Alexandria via LeMat-Bulk | GGA-PBE | relaxed
data_RbZr3Al
_cell_length_a 5.295
_cell_length_b 5.295
_cell_length_c 5.295
_cell_angle_alpha 90.00
_cell_angle_beta 90.00
_cell_angle_gamma 90.00
_space_group_name_H-M_alt 'P m -3 m'
_space_group_IT_number 221
_space_group_name_Hall '-P 4 2 3'
loop_
_atom_site_label
_atom_site_type_symbol
_atom_site_fract_x
_atom_site_fract_y
_atom_site_fract_z
_atom_site_occupancy
Rb1 Rb 0.000 0.000 0.000 1
Zr1 Zr 0.000 0.500 0.500 1
Al1 Al 0.500 0.500 0.500 1
# Density of states at the Fermi level (states/eV/atom): 2.3400
# Uncorrected energy (eV/atom): -5.080
# Volume (Å³/cell): 148
# Energy relative to the elements (meV/atom): 991
# Crystal system: cubic
# Energy relative to the lowest polymorph listed for this composition (meV/atom): 0

# 12
# RbZrAl | Alexandria via LeMat-Bulk | GGA-PBE | relaxed
data_RbZrAl
_cell_length_a 4.7599
_cell_length_b 4.7599
_cell_length_c 6.0962
_cell_angle_alpha 90.00
_cell_angle_beta 90.00
_cell_angle_gamma 120.00
_space_group_name_H-M_alt 'P -6 m 2'
_space_group_IT_number 187
_space_group_name_Hall 'P -6 2'
loop_
_atom_site_label
_atom_site_type_symbol
_atom_site_fract_x
_atom_site_fract_y
_atom_site_fract_z
_atom_site_occupancy
Rb1 Rb 0.0000 0.0000 0.0000 1
Zr1 Zr 0.6667 0.3333 0.5000 1
Al1 Al 0.3333 0.6667 0.5000 1
# Density of states at the Fermi level (states/eV/atom): 1.5169
# Uncorrected energy (eV/atom): -3.510
# Volume (Å³/cell): 120
# Energy relative to the elements (meV/atom): 909
# Crystal system: hexagonal
# Energy relative to the lowest polymorph listed for this composition (meV/atom): 887